# PrHo5Sc3, optimized geometry, DFT PBE
# Formation energy from the elements in eV/f.u.: 5.12
# Crystal system: monoclinic
data_PrHo5Sc3
_space_group_name_H-M_alt 'C 1 2/m 1'
_space_group_IT_number 12
_space_group_name_Hall '-C 2y'
_cell_length_a 13.608
_cell_length_b 10.681
_cell_length_c 10.387
_cell_angle_alpha 90.00
_cell_angle_beta 125.44
_cell_angle_gamma 90.00
loop_
_atom_site_label
_atom_site_type_symbol
_atom_site_fract_x
_atom_site_fract_y
_atom_site_fract_z
Pr1 Pr 0.236 0.000 0.330
Ho1 Ho 0.000 0.280 0.000
Ho2 Ho 0.100 0.265 0.737
Ho3 Ho 0.152 0.000 0.593
Ho4 Ho 0.198 0.500 0.012
Sc1 Sc 0.000 0.000 0.000
Sc2 Sc 0.000 0.500 0.500
Sc3 Sc 0.028 0.000 0.764
Sc4 Sc 0.072 0.500 0.259


# Ti2CuHPt, optimized geometry, DFT PBE
# Excess energy over the best structure of this formula in the dataset in eV/f.u.: 0.00
# Crystal system: tetragonal
data_Ti2CuHPt
_space_group_name_H-M_alt 'P 4/m m m'
_space_group_IT_number 123
_space_group_name_Hall '-P 4 2'
_cell_length_a 3.985
_cell_length_b 3.985
_cell_length_c 3.876
_cell_angle_alpha 90.00
_cell_angle_beta 90.00
_cell_angle_gamma 90.00
loop_
_atom_site_label
_atom_site_type_symbol
_atom_site_fract_x
_atom_site_fract_y
_atom_site_fract_z
Ti1 Ti 0.000 0.500 0.000
Cu1 Cu 0.000 0.000 0.500
H1 H 0.000 0.000 0.000
Pt1 Pt 0.500 0.500 0.500


# Na2NpCuP2, optimized geometry, DFT PBE
# Formation energy from the elements in eV/f.u.: -2.56
# Crystal system: orthorhombic
data_Na2NpCuP2
_space_group_name_H-M_alt 'P m c 21'
_space_group_IT_number 26
_space_group_name_Hall 'P 2c -2'
_cell_length_a 4.168
_cell_length_b 8.186
_cell_length_c 6.860
_cell_angle_alpha 90.00
_cell_angle_beta 90.00
_cell_angle_gamma 90.00
loop_
_atom_site_label
_atom_site_type_symbol
_atom_site_fract_x
_atom_site_fract_y
_atom_site_fract_z
Na1 Na 0.000 0.089 0.000
Na2 Na 0.500 0.148 0.329
Np1 Np 0.500 0.462 0.981
Cu1 Cu 0.000 0.310 0.640
P1 P 0.000 0.393 0.258
P2 P 0.500 0.194 0.729


# TmAlBi2O6, optimized geometry, DFT PBE
# Crystal system: monoclinic
# Raw formation energy in meV/atom: -2213
data_TmAlBi2O6
_space_group_name_H-M_alt 'P 1 21/c 1'
_space_group_IT_number 14
_space_group_name_Hall '-P 2ybc'
_cell_length_a 5.529
_cell_length_b 5.837
_cell_length_c 9.710
_cell_angle_alpha 90.00
_cell_angle_beta 124.49
_cell_angle_gamma 90.00
loop_
_atom_site_label
_atom_site_type_symbol
_atom_site_fract_x
_atom_site_fract_y
_atom_site_fract_z
Tm1 Tm 0.000 0.000 0.000
Al1 Al 0.500 0.000 0.500
Bi1 Bi 0.236 0.046 0.746
O1 O 0.160 0.179 0.453
O2 O 0.272 0.714 0.446
O3 O 0.372 0.034 0.268


# KRbTlAu, optimized geometry, DFT PBE
# Excess energy over the best structure of this formula in the dataset in eV/f.u.: 0.00
# Formation energy from the elements in eV/f.u.: -0.68
# Crystal system: monoclinic
data_KRbTlAu
_space_group_name_H-M_alt 'C 1 m 1'
_space_group_IT_number 8
_space_group_name_Hall 'C -2y'
_cell_length_a 8.983
_cell_length_b 5.072
_cell_length_c 8.239
_cell_angle_alpha 90.00
_cell_angle_beta 111.23
_cell_angle_gamma 90.00
loop_
_atom_site_label
_atom_site_type_symbol
_atom_site_fract_x
_atom_site_fract_y
_atom_site_fract_z
K1 K 0.000 0.000 0.000
Rb1 Rb 0.183 0.000 0.556
Tl1 Tl 0.254 0.500 0.260
Au1 Au 0.421 0.000 0.256


# CdB3Pt7, optimized geometry, DFT PBE
# Formation energy from the elements in eV/f.u.: -1.84
# Crystal system: monoclinic
data_CdB3Pt7
_space_group_name_H-M_alt 'C 1 2/m 1'
_space_group_IT_number 12
_space_group_name_Hall '-C 2y'
_cell_length_a 7.379
_cell_length_b 8.020
_cell_length_c 5.636
_cell_angle_alpha 90.00
_cell_angle_beta 108.39
_cell_angle_gamma 90.00
loop_
_atom_site_label
_atom_site_type_symbol
_atom_site_fract_x
_atom_site_fract_y
_atom_site_fract_z
Cd1 Cd 0.000 0.000 0.000
B1 B 0.000 0.276 0.500
B2 B 0.000 0.500 0.000
Pt1 Pt 0.000 0.000 0.500
Pt2 Pt 0.132 0.500 0.732
Pt3 Pt 0.167 0.299 0.246


| no. | VASP energy (eV per atom) |
| --- | --- |
| 1 | -4.6159 |
| 2 | -6.3389 |
| 3 | -5.5095 |
| 4 | -6.7852 |
| 5 | -2.0965 |
| 6 | -5.9157 |